No. 1
# BaHfS3 | Alexandria via LeMat-Bulk | PBE | relaxed
data_BaHfS3
_space_group_name_H-M_alt 'C 1 m 1'
_space_group_IT_number 8
_space_group_name_Hall 'C -2y'
_cell_length_a 7.0869
_cell_length_b 7.0876
_cell_length_c 5.0115
_cell_angle_alpha 90.00
_cell_angle_beta 90.01
_cell_angle_gamma 90.00
loop_
_atom_site_label
_atom_site_fract_x
_atom_site_fract_y
_atom_site_fract_z
Ba1 0.0000 0.0000 0.0000
Hf1 0.4995 0.0000 0.4994
S1 0.2495 0.2500 0.4984
S2 0.4994 0.0000 0.9989
# E_form (uncorrected): -1.8164 eV/atom

No. 2
# Cu3Re2 | Alexandria via LeMat-Bulk | PBE | relaxed
data_Cu3Re2
_space_group_name_H-M_alt 'R -3 m'
_space_group_IT_number 166
_space_group_name_Hall '-R 3 2"'
_cell_length_a 2.6864
_cell_length_b 2.6864
_cell_length_c 32.5383
_cell_angle_alpha 90.00
_cell_angle_beta 90.00
_cell_angle_gamma 120.00
loop_
_atom_site_label
_atom_site_fract_x
_atom_site_fract_y
_atom_site_fract_z
Cu1 0.0000 0.0000 0.0000
Cu2 0.0000 0.0000 0.1984
Re1 0.0000 0.0000 0.4011
# offset from the most stable computed form: 0.0 kJ/mol of atoms
# energy of formation: 31 kJ/mol of atoms

No. 3
# PmSmCo4 | Alexandria via LeMat-Bulk | PBE | relaxed
data_PmSmCo4
_space_group_name_H-M_alt 'F -4 3 m'
_space_group_IT_number 216
_space_group_name_Hall 'F -4 2 3'
_cell_length_a 7.2776
_cell_length_b 7.2776
_cell_length_c 7.2776
_cell_angle_alpha 90.00
_cell_angle_beta 90.00
_cell_angle_gamma 90.00
loop_
_atom_site_label
_atom_site_fract_x
_atom_site_fract_y
_atom_site_fract_z
Pm1 0.0000 0.0000 0.0000
Sm1 0.2500 0.2500 0.2500
Co1 0.1249 0.1249 0.6249
# offset from the most stable computed form: 2.6 kJ/mol of atoms
# energy of formation: -8 kJ/mol of atoms

No. 4
# Pb3W | Alexandria via LeMat-Bulk | PBE | relaxed
data_Pb3W
_space_group_name_H-M_alt 'P 4/m m m'
_space_group_IT_number 123
_space_group_name_Hall '-P 4 2'
_cell_length_a 5.1965
_cell_length_b 5.1965
_cell_length_c 3.6909
_cell_angle_alpha 90.00
_cell_angle_beta 90.00
_cell_angle_gamma 90.00
loop_
_atom_site_label
_atom_site_fract_x
_atom_site_fract_y
_atom_site_fract_z
Pb1 0.0000 0.0000 0.0000
Pb2 0.0000 0.5000 0.5000
W1 0.5000 0.5000 0.0000
# offset from the most stable computed form: 58.5 kJ/mol of atoms
# energy of formation: 103 kJ/mol of atoms

Number 1: calculated volume 25.17 Å³ per atom. Number 2: calculated volume 13.56 Å³ per atom. Number 3: calculated volume 16.06 Å³ per atom. Number 4: calculated volume 24.92 Å³ per atom.